First-principles (PBE-GGA) data for an optimized crystal structure of Pu2Ni3Ge4Au, as listed in Alexandria via LeMat-Bulk.

Computed properties:
As for the size of the total moment: 10.464 μB/cell. As for the space group: P-4m2, No. 115. As for the energy relative to the elements: -436 kJ/mol of formula units. As for the total energy: -7.227 eV/atom. As for the density of states at the Fermi level: 27.43 states/eV per cell.

a = 4.1818 Å, b = 4.1818 Å, c = 9.8874 Å
α = 90.00°, β = 90.00°, γ = 90.00°
Atoms (fractional coordinates):
1 Pu 0.0000 0.5000 0.2418
2 Pu 0.5000 0.0000 0.7582
3 Ni 0.0000 0.5000 0.8832
4 Ni 0.5000 0.0000 0.1168
5 Ni 0.5000 0.5000 0.5000
6 Ge 0.0000 0.0000 0.0000
7 Ge 0.0000 0.5000 0.6489
8 Ge 0.5000 0.0000 0.3511
9 Ge 0.5000 0.5000 0.0000
10 Au 0.0000 0.0000 0.5000

First-principles (PBE-GGA) data for an optimized crystal structure of Ho5ErAl3, as listed in Alexandria via LeMat-Bulk.

Computed properties:
As for the size of the total moment: 0.000 μB/cell. As for the space group: P6_3/mcm, No. 193. As for the energy relative to the elements: -239 kJ/mol of formula units. As for the total energy: -4.573 eV/atom. As for the density of states at the Fermi level: 17.63 states/eV per cell.

a = 9.0238 Å, b = 9.0238 Å, c = 6.6001 Å
α = 90.00°, β = 90.00°, γ = 120.00°
Atoms (fractional coordinates):
1 Ho 0.0000 0.3330 0.2500
2 Ho 0.0000 0.6670 0.7500
3 Ho 0.3330 0.0000 0.2500
4 Ho 0.3330 0.3330 0.7500
5 Ho 0.3333 0.6667 0.0000
6 Ho 0.3333 0.6667 0.5000
7 Ho 0.6670 0.0000 0.7500
8 Ho 0.6667 0.3333 0.0000
9 Ho 0.6667 0.3333 0.5000
10 Ho 0.6670 0.6670 0.2500
11 Er 0.0000 0.0000 0.0000
12 Er 0.0000 0.0000 0.5000
13 Al 0.0000 0.3332 0.7500
14 Al 0.0000 0.6668 0.2500
15 Al 0.3332 0.0000 0.7500
16 Al 0.3332 0.3332 0.2500
17 Al 0.6668 0.0000 0.2500
18 Al 0.6668 0.6668 0.7500

First-principles (PBE-GGA) data for an optimized crystal structure of Sc2AsIr2, as listed in Alexandria via LeMat-Bulk.

Computed properties:
As for the size of the total moment: 0.000 μB/cell. As for the space group: P4/mbm, No. 127. As for the energy relative to the elements: -308 kJ/mol of formula units. As for the total energy: -7.646 eV/atom. As for the density of states at the Fermi level: 3.89 states/eV per cell.

a = 7.4910 Å, b = 7.4910 Å, c = 3.1778 Å
α = 90.00°, β = 90.00°, γ = 90.00°
Atoms (fractional coordinates):
1 Sc 0.1623 0.3377 0.0000
2 Sc 0.3377 0.8377 0.0000
3 Sc 0.6623 0.1623 0.0000
4 Sc 0.8377 0.6623 0.0000
5 As 0.0000 0.0000 0.5000
6 As 0.5000 0.5000 0.5000
7 Ir 0.1366 0.6366 0.5000
8 Ir 0.3634 0.1366 0.5000
9 Ir 0.6366 0.8634 0.5000
10 Ir 0.8634 0.3634 0.5000

First-principles (PBE-GGA) data for an optimized crystal structure of Sn12Hg5Ge3, as listed in Alexandria via LeMat-Bulk.

Computed properties:
As for the size of the total moment: 0.000 μB/cell. As for the space group: Ia-3d, No. 230. As for the energy relative to the elements: 388 kJ/mol of formula units. As for the total energy: -2.968 eV/atom. As for the density of states at the Fermi level: 35.47 states/eV per cell.

a = 14.9131 Å, b = 14.9131 Å, c = 14.9131 Å
α = 109.47°, β = 109.47°, γ = 109.47°
Atoms (fractional coordinates):
1 Sn 0.0710 0.2315 0.1443
2 Sn 0.0710 0.3395 0.9266
3 Sn 0.0734 0.6443 0.4128
4 Sn 0.0734 0.9290 0.6605
5 Sn 0.0872 0.7315 0.6605
6 Sn 0.0872 0.8557 0.4266
7 Sn 0.1443 0.0710 0.2315
8 Sn 0.1443 0.5734 0.9128
9 Sn 0.1605 0.2315 0.5872
10 Sn 0.1605 0.4290 0.5734
11 Sn 0.2315 0.1443 0.0710
12 Sn 0.2315 0.5872 0.1605
13 Sn 0.2685 0.3395 0.9128
14 Sn 0.2685 0.4290 0.3557
15 Sn 0.3395 0.9128 0.2685
16 Sn 0.3395 0.9266 0.0710
17 Sn 0.3557 0.2685 0.4290
18 Sn 0.3557 0.5872 0.9266
19 Sn 0.4128 0.0734 0.6443
20 Sn 0.4128 0.8395 0.7685
21 Sn 0.4266 0.0872 0.8557
22 Sn 0.4266 0.8395 0.5710
23 Sn 0.4290 0.3557 0.2685
24 Sn 0.4290 0.5734 0.1605
25 Sn 0.5710 0.4266 0.8395
26 Sn 0.5710 0.6443 0.7315
27 Sn 0.5734 0.1605 0.4290
28 Sn 0.5734 0.9128 0.1443
29 Sn 0.5872 0.1605 0.2315
30 Sn 0.5872 0.9266 0.3557
31 Sn 0.6443 0.4128 0.0734
32 Sn 0.6443 0.7315 0.5710
33 Sn 0.6605 0.0734 0.9290
34 Sn 0.6605 0.0872 0.7315
35 Sn 0.7315 0.5710 0.6443
36 Sn 0.7315 0.6605 0.0872
37 Sn 0.7685 0.4128 0.8395
38 Sn 0.7685 0.8557 0.9290
39 Sn 0.8395 0.5710 0.4266
40 Sn 0.8395 0.7685 0.4128
41 Sn 0.8557 0.4266 0.0872
42 Sn 0.8557 0.9290 0.7685
43 Sn 0.9128 0.1443 0.5734
44 Sn 0.9128 0.2685 0.3395
45 Sn 0.9266 0.0710 0.3395
46 Sn 0.9266 0.3557 0.5872
47 Sn 0.9290 0.6605 0.0734
48 Sn 0.9290 0.7685 0.8557
49 Hg 0.0000 0.0000 0.0000
50 Hg 0.0000 0.0000 0.5000
51 Hg 0.0000 0.5000 0.0000
52 Hg 0.0000 0.5000 0.5000
53 Hg 0.1250 0.7500 0.8750
54 Hg 0.1250 0.8750 0.2500
55 Hg 0.2500 0.1250 0.8750
56 Hg 0.2500 0.6250 0.3750
57 Hg 0.3750 0.2500 0.6250
58 Hg 0.3750 0.6250 0.7500
59 Hg 0.5000 0.0000 0.0000
60 Hg 0.5000 0.0000 0.5000
61 Hg 0.5000 0.5000 0.0000
62 Hg 0.5000 0.5000 0.5000
63 Hg 0.6250 0.3750 0.2500
64 Hg 0.6250 0.7500 0.3750
65 Hg 0.7500 0.3750 0.6250
66 Hg 0.7500 0.8750 0.1250
67 Hg 0.8750 0.1250 0.7500
68 Hg 0.8750 0.2500 0.1250
69 Ge 0.1250 0.2500 0.3750
70 Ge 0.1250 0.3750 0.7500
71 Ge 0.2500 0.3750 0.1250
72 Ge 0.2500 0.8750 0.6250
73 Ge 0.3750 0.1250 0.2500
74 Ge 0.3750 0.7500 0.1250
75 Ge 0.6250 0.2500 0.8750
76 Ge 0.6250 0.8750 0.7500
77 Ge 0.7500 0.1250 0.3750
78 Ge 0.7500 0.6250 0.8750
79 Ge 0.8750 0.6250 0.2500
80 Ge 0.8750 0.7500 0.6250

First-principles (PBE-GGA) data for an optimized crystal structure of MgPaCd2, as listed in Alexandria via LeMat-Bulk.

Computed properties:
As for the size of the total moment: 0.656 μB/cell. As for the space group: R-3m, No. 166. For the energy above the lowest structure with this stoichiometry, the calculation gives 0.2290 eV/atom. As for the energy relative to the elements: 83 kJ/mol of formula units. As for the total energy: -3.015 eV/atom. As for the density of states at the Fermi level: 4.50 states/eV per cell.

a = 11.7829 Å, b = 11.7829 Å, c = 11.7829 Å
α = 15.12°, β = 15.12°, γ = 15.12°
Atoms (fractional coordinates):
1 Mg 0.0000 0.0000 0.0000
2 Pa 0.5000 0.5000 0.5000
3 Cd 0.4064 0.4064 0.4064
4 Cd 0.5936 0.5936 0.5936

First-principles (PBE-GGA) data for an optimized crystal structure of RbURh4S8, as listed in Alexandria via LeMat-Bulk.

Computed properties:
As for the size of the total moment: 0.701 μB/cell. As for the space group: R3m, No. 160. The value obtained for the raw formation energy is -536 meV per atom. As for the total energy: -5.870 eV/atom. As for the density of states at the Fermi level: 12.33 states/eV per cell.

a = 7.1926 Å, b = 7.1926 Å, c = 7.1926 Å
α = 64.56°, β = 64.56°, γ = 64.56°
Atoms (fractional coordinates):
1 Rb 0.0000 0.0000 0.0000
2 U 0.5703 0.5703 0.5703
3 Rh 0.0898 0.5959 0.5959
4 Rh 0.2152 0.2152 0.2152
5 Rh 0.5959 0.0898 0.5959
6 Rh 0.5959 0.5959 0.0898
7 S 0.3265 0.3265 0.8309
8 S 0.3265 0.8309 0.3265
9 S 0.3546 0.3546 0.3546
10 S 0.4295 0.8141 0.8141
11 S 0.8141 0.4295 0.8141
12 S 0.8141 0.8141 0.4295
13 S 0.8252 0.8252 0.8252
14 S 0.8309 0.3265 0.3265

First-principles (PBE-GGA) data for an optimized crystal structure of LiTmZr, as listed in Alexandria via LeMat-Bulk.

Computed properties:
As for the size of the total moment: 0.000 μB/cell. As for the space group: P3m1, No. 156. For the energy above the lowest structure with this stoichiometry, the calculation gives 0.0706 eV/atom. As for the energy relative to the elements: 48 kJ/mol of formula units. As for the total energy: -4.810 eV/atom. As for the density of states at the Fermi level: 3.26 states/eV per cell.

a = 3.2576 Å, b = 3.2576 Å, c = 8.1126 Å
α = 90.00°, β = 90.00°, γ = 120.00°
Atoms (fractional coordinates):
1 Li 0.0000 0.0000 0.0000
2 Tm 0.3333 0.6667 0.6470
3 Zr 0.6667 0.3333 0.3281

First-principles (PBE-GGA) data for an optimized crystal structure of RbThSe3, as listed in Alexandria via LeMat-Bulk.

Computed properties:
As for the size of the total moment: 0.000 μB/cell. As for the space group: C2/m, No. 12. For the energy above the lowest structure with this stoichiometry, the calculation gives 0.0000 eV/atom. The value obtained for the raw formation energy is -1419 meV per atom. As for the total energy: -5.187 eV/atom.

a = 9.3348 Å, b = 9.3348 Å, c = 10.6567 Å
α = 123.13°, β = 123.13°, γ = 27.53°
Atoms (fractional coordinates):
1 Rb 0.1054 0.1054 0.2841
2 Rb 0.8946 0.8946 0.7159
3 Th 0.3239 0.3239 0.2209
4 Th 0.6761 0.6761 0.7791
5 Se 0.1448 0.1448 0.9339
6 Se 0.2386 0.2386 0.6871
7 Se 0.4763 0.4763 0.5830
8 Se 0.5237 0.5237 0.4170
9 Se 0.7614 0.7614 0.3129
10 Se 0.8552 0.8552 0.0661

First-principles (PBE-GGA) data for an optimized crystal structure of ReHgIr2Pt, as listed in Alexandria via LeMat-Bulk.

Computed properties:
As for the size of the total moment: 5.447 μB/cell. As for the space group: P4/mmm, No. 123. As for the energy relative to the elements: 1099 kJ/mol of formula units. As for the total energy: -5.024 eV/atom. As for the density of states at the Fermi level: 6.03 states/eV per cell.

a = 4.8190 Å, b = 4.8190 Å, c = 4.9752 Å
α = 90.00°, β = 90.00°, γ = 90.00°
Atoms (fractional coordinates):
1 Re 0.0000 0.0000 0.0000
2 Hg 0.5000 0.5000 0.0000
3 Ir 0.0000 0.5000 0.5000
4 Ir 0.5000 0.0000 0.5000
5 Pt 0.5000 0.5000 0.5000

First-principles (PBE-GGA) data for an optimized crystal structure of CrTcAg2, as listed in Alexandria via LeMat-Bulk.

Computed properties:
As for the size of the total moment: 2.310 μB/cell. As for the space group: P2/m, No. 10. For the energy above the lowest structure with this stoichiometry, the calculation gives 0.2719 eV/atom. As for the energy relative to the elements: 230 kJ/mol of formula units. As for the total energy: -5.828 eV/atom. As for the density of states at the Fermi level: 3.58 states/eV per cell.

a = 2.7354 Å, b = 4.8164 Å, c = 4.9652 Å
α = 90.00°, β = 98.72°, γ = 90.00°
Atoms (fractional coordinates):
1 Cr 0.0000 0.0000 0.0000
2 Tc 0.5000 0.0000 0.5000
3 Ag 0.2204 0.5000 0.7533
4 Ag 0.7796 0.5000 0.2467

First-principles (PBE-GGA) data for an optimized crystal structure of SrCoSnCl2, as listed in Alexandria via LeMat-Bulk.

Computed properties:
As for the size of the total moment: 0.000 μB/cell. As for the space group: P4/mmm, No. 123. The value obtained for the raw formation energy is -527 meV per atom. As for the total energy: -3.824 eV/atom. As for the density of states at the Fermi level: 3.36 states/eV per cell.

a = 4.8753 Å, b = 4.8753 Å, c = 5.0504 Å
α = 90.00°, β = 90.00°, γ = 90.00°
Atoms (fractional coordinates):
1 Sr 0.0000 0.0000 0.0000
2 Co 0.5000 0.5000 0.5000
3 Sn 0.5000 0.5000 0.0000
4 Cl 0.0000 0.5000 0.5000
5 Cl 0.5000 0.0000 0.5000

First-principles (PBE-GGA) data for an optimized crystal structure of Rb2FeNiSe4, as listed in Alexandria via LeMat-Bulk.

Computed properties:
As for the size of the total moment: 3.967 μB/cell. As for the space group: Fddd, No. 70. The value obtained for the raw formation energy is -662 meV per atom. As for the total energy: -4.426 eV/atom. As for the density of states at the Fermi level: 4.31 states/eV per cell.

a = 13.8623 Å, b = 12.3224 Å, c = 7.5036 Å
α = 85.04°, β = 62.32°, γ = 32.63°
Atoms (fractional coordinates):
1 Rb 0.0560 0.0560 0.6940
2 Rb 0.3060 0.3060 0.9440
3 Rb 0.6940 0.6940 0.0560
4 Rb 0.9440 0.9440 0.3060
5 Fe 0.1250 0.1250 0.1250
6 Fe 0.8750 0.8750 0.8750
7 Ni 0.3750 0.3750 0.3750
8 Ni 0.6250 0.6250 0.6250
9 Se 0.0250 0.3348 0.4119
10 Se 0.2717 0.5881 0.6652
11 Se 0.3348 0.0250 0.7283
12 Se 0.4119 0.7283 0.0250
13 Se 0.5881 0.2717 0.9750
14 Se 0.6652 0.9750 0.2717
15 Se 0.7283 0.4119 0.3348
16 Se 0.9750 0.6652 0.5881